Record 1
! Na2TlBiCl6 PBE relaxed; values from VASP
&SYSTEM
  ibrav = 0, nat = 10, ntyp = 4
/
ATOMIC_SPECIES
Na 22.99 Na.upf
Tl 204.38 Tl.upf
Bi 208.98 Bi.upf
Cl 35.45 Cl.upf
CELL_PARAMETERS angstrom
7.3105 0.0025 0.0003
3.6574 6.3306 -0.0002
3.6558 2.1109 6.6088
ATOMIC_POSITIONS crystal
Na 0.5216 0.5214 0.4355
Na 0.0057 0.0056 0.9839
Tl 0.8069 0.8071 0.5788
Bi 0.3240 0.3240 0.0279
Cl 0.5915 0.2446 0.2345
Cl 0.2444 0.9294 0.2346
Cl 0.9293 0.5917 0.2345
Cl 0.3620 0.7179 0.7619
Cl 0.7182 0.1577 0.7620
Cl 0.1581 0.3621 0.7617
! Energy in eV per atom: -3.336
! Space-group type: No. 146
! Total magnetic moment in μB per formula unit: 0.00
! Energy relative to the elements, uncorrected in eV/atom: -1.34


Record 2
! Er2Pu PBE relaxed; values from VASP
&SYSTEM
  ibrav = 0, nat = 3, ntyp = 2
/
ATOMIC_SPECIES
Er 167.26 Er.upf
Pu 244.00 Pu.upf
CELL_PARAMETERS angstrom
3.4674 0.0000 0.0000
0.0000 3.4674 0.0000
-1.7337 -1.7337 7.3471
ATOMIC_POSITIONS crystal
Er 0.6645 0.6645 0.3290
Er 0.3355 0.3355 0.6710
Pu 0.0000 0.0000 0.0000
! Energy in eV per atom: -7.716
! Space-group type: No. 139
! Total magnetic moment in μB per formula unit: 6.11
! Calculated formation energy in eV per atom: 0.1028


Record 3
! VAuN2 PBE relaxed; values from VASP
&SYSTEM
  ibrav = 0, nat = 4, ntyp = 3
/
ATOMIC_SPECIES
V 50.94 V.upf
Au 196.97 Au.upf
N 14.01 N.upf
CELL_PARAMETERS angstrom
2.0300 2.8993 5.4743
4.2953 1.1980 4.7550
3.9719 3.8131 3.4900
ATOMIC_POSITIONS crystal
V 0.5000 0.5000 0.5000
Au 0.0000 0.0000 0.0000
N 0.8899 0.8899 0.8899
N 0.1101 0.1101 0.1101
! Energy in eV per atom: -7.412
! Space-group type: No. 166
! Total magnetic moment in μB per formula unit: 0.00
! Energy relative to the elements, uncorrected in eV/atom: -0.15


Record 4
! Pu2AsN PBE relaxed; values from VASP
&SYSTEM
  ibrav = 0, nat = 4, ntyp = 3
/
ATOMIC_SPECIES
As 74.92 As.upf
N 14.01 N.upf
Pu 244.00 Pu.upf
CELL_PARAMETERS angstrom
-3.1899 1.8533 -0.6393
-3.2150 -1.8816 -0.3772
-3.1371 0.4395 5.9624
ATOMIC_POSITIONS crystal
As 0.5000 0.5000 0.5000
N 0.0000 0.0000 0.0000
Pu 0.7342 0.7342 0.7974
Pu 0.2658 0.2658 0.2026
! Energy in eV per atom: -11.441
! Space-group type: No. 166
! Total magnetic moment in μB per formula unit: 9.96
! Energy relative to the elements, uncorrected in eV/atom: -1.03


Record 5
! Pm6NdSn6 PBE relaxed; values from VASP
&SYSTEM
  ibrav = 0, nat = 13, ntyp = 3
/
ATOMIC_SPECIES
Pm 145.00 Pm.upf
Nd 144.24 Nd.upf
Sn 118.71 Sn.upf
CELL_PARAMETERS angstrom
7.3623 -0.0008 0.0000
-3.6810 6.3761 0.0000
0.0000 0.0000 9.2595
ATOMIC_POSITIONS crystal
Pm 0.0000 0.5000 0.7469
Pm 0.5000 0.0000 0.7469
Pm 0.5000 0.5000 0.7468
Pm 0.5000 0.0000 0.2531
Pm 0.0000 0.5000 0.2531
Pm 0.5000 0.5000 0.2532
Nd 0.0000 0.0000 0.0000
Sn 0.0000 0.0000 0.6596
Sn 0.0000 0.0000 0.3404
Sn 0.3334 0.6666 0.0000
Sn 0.6666 0.3334 0.0000
Sn 0.3333 0.6667 0.5000
Sn 0.6667 0.3333 0.5000
! Energy in eV per atom: -4.860
! Space-group type: No. 191
! Total magnetic moment in μB per formula unit: 0.00
! Calculated formation energy in eV per atom: -0.4532


Record 6
! SiBP2 PBE relaxed; values from VASP
&SYSTEM
  ibrav = 0, nat = 4, ntyp = 3
/
ATOMIC_SPECIES
P 30.97 P.upf
Si 28.09 Si.upf
B 10.81 B.upf
CELL_PARAMETERS angstrom
0.0000 2.9055 2.9055
2.9055 0.0000 2.9055
2.9055 2.9055 0.0000
ATOMIC_POSITIONS crystal
P 0.2500 0.2500 0.2500
P 0.7500 0.7500 0.7500
Si 0.5000 0.5000 0.5000
B 0.0000 0.0000 0.0000
! Energy in eV per atom: -4.667
! Space-group type: No. 225
! Total magnetic moment in μB per formula unit: 0.00
! Energy relative to the elements, uncorrected in eV/atom: 1.06


Record 7
! TaInTe2 PBE relaxed; values from VASP
&SYSTEM
  ibrav = 0, nat = 4, ntyp = 3
/
ATOMIC_SPECIES
In 114.82 In.upf
Ta 180.95 Ta.upf
Te 127.60 Te.upf
CELL_PARAMETERS angstrom
10.7308 0.0005 0.0003
10.1944 3.3503 0.0003
10.1944 1.6325 2.9257
ATOMIC_POSITIONS crystal
In 0.4875 0.4875 0.4875
Ta 0.7498 0.7498 0.7498
Te 0.0220 0.0220 0.0220
Te 0.2407 0.2407 0.2407
! Energy in eV per atom: -5.149
! Space-group type: No. 160
! Total magnetic moment in μB per formula unit: 0.00
! Energy relative to the elements, uncorrected in eV/atom: 0.07


Record 8
! Ac12Ru4Pt PBE relaxed; values from VASP
&SYSTEM
  ibrav = 0, nat = 17, ntyp = 3
/
ATOMIC_SPECIES
Ac 227.00 Ac.upf
Ru 101.07 Ru.upf
Pt 195.08 Pt.upf
CELL_PARAMETERS angstrom
9.0629 -0.0375 -3.2355
-4.5368 7.8570 -3.2079
0.0305 0.0375 9.6231
ATOMIC_POSITIONS crystal
Ac 0.1806 0.7078 0.8884
Ac 0.1119 0.7912 0.3207
Ac 0.4705 0.7912 0.6793
Ac 0.3112 0.1293 0.8181
Ac 0.6888 0.5069 0.8181
Ac 0.1806 0.2922 0.4729
Ac 0.8194 0.7078 0.5271
Ac 0.6888 0.8707 0.1819
Ac 0.3112 0.4931 0.1819
Ac 0.5295 0.2088 0.3207
Ac 0.8881 0.2088 0.6793
Ac 0.8194 0.2922 0.1116
Ru 0.5000 0.0000 0.0000
Ru 0.0000 0.5000 0.0000
Ru 0.0000 0.0000 0.5000
Ru 0.5000 0.5000 0.5000
Pt 0.0000 0.5000 0.5000
! Energy in eV per atom: -5.593
! Space-group type: No. 71
! Total magnetic moment in μB per formula unit: 0.00
! Calculated formation energy in eV per atom: -0.1549


Record 9
! Ag3Pd7Au2 PBE relaxed; values from VASP
&SYSTEM
  ibrav = 0, nat = 12, ntyp = 3
/
ATOMIC_SPECIES
Ag 107.87 Ag.upf
Pd 106.42 Pd.upf
Au 196.97 Au.upf
CELL_PARAMETERS angstrom
-0.8842 2.4563 -0.9801
0.4176 -1.6209 -4.4392
-14.7141 -5.3324 -0.0893
ATOMIC_POSITIONS crystal
Ag 0.5000 0.5000 0.0000
Ag 0.0000 0.2684 0.3710
Ag 0.0000 0.7316 0.6290
Pd 0.5000 0.7547 0.4640
Pd 0.5000 0.2453 0.5360
Pd 0.0000 0.6465 0.1484
Pd 0.0000 0.0000 0.0000
Pd 0.0000 0.3535 0.8516
Pd 0.5000 0.8473 0.8468
Pd 0.5000 0.1527 0.1532
Au 0.5000 0.7805 0.2942
Au 0.5000 0.2195 0.7058
! Energy in eV per atom: -4.215
! Space-group type: No. 10
! Total magnetic moment in μB per formula unit: 0.00
! Calculated formation energy in eV per atom: 0.0731


Record 10
! LiZnIr2 PBE relaxed; values from VASP
&SYSTEM
  ibrav = 0, nat = 4, ntyp = 3
/
ATOMIC_SPECIES
Ir 192.22 Ir.upf
Li 6.94 Li.upf
Zn 65.41 Zn.upf
CELL_PARAMETERS angstrom
2.7065 0.0063 0.0000
-1.3191 2.3633 0.0000
0.0000 0.0000 9.1001
ATOMIC_POSITIONS crystal
Ir 0.0000 0.0000 0.9988
Ir 0.5000 0.5000 0.2547
Li 0.0000 0.0000 0.4941
Zn 0.5000 0.5000 0.7524
! Energy in eV per atom: -5.167
! Space-group type: No. 35
! Total magnetic moment in μB per formula unit: 0.00
! Calculated formation energy in eV per atom: 0.0602


Record 11
! K5PS4Br2 PBE relaxed; values from VASP
&SYSTEM
  ibrav = 0, nat = 12, ntyp = 4
/
ATOMIC_SPECIES
K 39.10 K.upf
P 30.97 P.upf
S 32.06 S.upf
Br 79.90 Br.upf
CELL_PARAMETERS angstrom
7.8297 0.0000 0.0000
-3.9149 5.4373 0.0000
0.0000 0.0000 9.5780
ATOMIC_POSITIONS crystal
K 0.1261 0.4035 0.2271
K 0.4380 0.0000 0.5000
K 0.1261 0.4035 0.7729
K 0.7226 0.5965 0.7729
K 0.7226 0.5965 0.2271
P 0.3854 0.0000 0.0000
S 0.5398 0.0000 0.1752
S 0.5398 0.0000 0.8248
S 0.3801 0.3049 0.0000
S 0.0751 0.6951 0.0000
Br 0.9397 0.5295 0.5000
Br 0.4102 0.4705 0.5000
! Energy in eV per atom: -3.765
! Space-group type: No. 38
! Total magnetic moment in μB per formula unit: 0.00
! Energy relative to the elements, uncorrected in eV/atom: -1.20


Record 12
! ScMo6S8 PBE relaxed; values from VASP
&SYSTEM
  ibrav = 0, nat = 15, ntyp = 3
/
ATOMIC_SPECIES
Sc 44.96 Sc.upf
Mo 95.94 Mo.upf
S 32.06 S.upf
CELL_PARAMETERS angstrom
-4.6881 -4.1260 -1.5940
2.9417 -1.0929 -5.6298
3.3466 -4.7834 2.7318
ATOMIC_POSITIONS crystal
Sc 0.0000 0.0000 0.0000
Mo 0.5808 0.4436 0.7802
Mo 0.4436 0.7802 0.5808
Mo 0.7802 0.5808 0.4436
Mo 0.4192 0.5564 0.2198
Mo 0.5564 0.2198 0.4192
Mo 0.2198 0.4192 0.5564
S 0.7700 0.7700 0.7700
S 0.2300 0.2300 0.2300
S 0.6367 0.8695 0.2476
S 0.8695 0.2476 0.6367
S 0.2476 0.6367 0.8695
S 0.3633 0.1305 0.7524
S 0.1305 0.7524 0.3633
S 0.7524 0.3633 0.1305
! Energy in eV per atom: -7.797
! Space-group type: No. 148
! Total magnetic moment in μB per formula unit: 0.00
! Energy relative to the elements, uncorrected in eV/atom: -0.84


> The highest energy belongs to which entry?

Na2TlBiCl6


> Number 4 is which compound?

Pu2AsN